Tl2HS8 after structural relaxation. Source: Alexandria, functional GGA-PBE.

Geometry as POSCAR:
```
Tl2HS8
1.0
5.842 0.000 0.000
1.032 6.232 0.000
0.633 0.370 8.244
Tl H S
2 1 8
direct
0.001 0.106 0.297 Tl
0.999 0.894 0.703 Tl
0.500 0.500 0.000 H
0.057 0.753 0.057 S
0.265 0.486 0.124 S
0.445 0.492 0.612 S
0.478 0.001 0.618 S
0.522 0.999 0.382 S
0.555 0.508 0.388 S
0.735 0.514 0.876 S
0.943 0.247 0.943 S
```

As for the space group: P-1, No. 2. Its total energy is -3.686 eV/atom.

=====

Tm3TlHS after structural relaxation. Source: Alexandria, functional GGA-PBE.

Geometry as POSCAR:
```
Tm3TlHS
1.0
8.160 0.000 0.000
0.000 3.887 0.000
-1.846 0.000 8.299
Tm Tl H S
6 2 2 2
direct
0.062 0.250 0.323 Tm
0.320 0.250 0.959 Tm
0.382 0.750 0.624 Tm
0.618 0.250 0.376 Tm
0.680 0.750 0.041 Tm
0.938 0.750 0.677 Tm
0.323 0.750 0.245 Tl
0.677 0.250 0.755 Tl
0.417 0.750 0.896 H
0.583 0.250 0.104 H
0.157 0.250 0.646 S
0.843 0.750 0.354 S
```

As for the space group: P2_1/m, No. 11. Its total energy is -4.756 eV/atom.

=====

Tm5Tl2HS after structural relaxation. Source: Alexandria, functional GGA-PBE.

Geometry as POSCAR:
```
Tm5Tl2HS
1.0
2.034 -8.671 0.000
2.034 8.671 0.000
0.000 0.000 12.110
Tm Tl H S
10 4 2 2
direct
0.003 0.997 0.500 Tm
0.143 0.857 0.256 Tm
0.192 0.808 0.905 Tm
0.196 0.804 0.611 Tm
0.459 0.541 0.246 Tm
0.541 0.459 0.746 Tm
0.804 0.196 0.111 Tm
0.808 0.192 0.405 Tm
0.857 0.143 0.756 Tm
0.997 0.003 0.000 Tm
0.372 0.628 0.943 Tl
0.380 0.620 0.568 Tl
0.620 0.380 0.068 Tl
0.628 0.372 0.443 Tl
0.070 0.930 0.657 H
0.930 0.070 0.157 H
0.299 0.701 0.258 S
0.701 0.299 0.758 S
```

As for the space group: Cmc2_1, No. 36. Its total energy is -4.532 eV/atom.

=====

UTl2HS4 after structural relaxation. Source: Alexandria, functional GGA-PBE.

Geometry as POSCAR:
```
UTl2HS4
1.0
6.929 0.000 0.000
0.000 4.081 0.000
-1.915 0.000 7.234
U Tl H S
1 2 1 4
direct
0.000 0.000 0.000 U
0.000 0.500 0.500 Tl
0.500 0.000 0.500 Tl
0.500 0.500 0.000 H
0.212 0.500 0.178 S
0.218 0.000 0.790 S
0.782 0.000 0.210 S
0.788 0.500 0.822 S
```

As for the space group: P2/m, No. 10. Its total energy is -4.865 eV/atom.

=====

UTlHS3 after structural relaxation. Source: Alexandria, functional GGA-PBE.

Geometry as POSCAR:
```
UTlHS3
1.0
8.869 0.000 0.000
0.000 3.763 0.000
-2.591 0.000 8.547
U Tl H S
2 2 2 6
direct
0.179 0.250 0.176 U
0.821 0.750 0.824 U
0.255 0.250 0.677 Tl
0.745 0.750 0.323 Tl
0.291 0.750 0.201 H
0.709 0.250 0.799 H
0.127 0.750 0.365 S
0.137 0.750 0.944 S
0.463 0.250 0.259 S
0.537 0.750 0.741 S
0.863 0.250 0.056 S
0.873 0.250 0.635 S
```

As for the space group: P2_1/m, No. 11. Its total energy is -5.577 eV/atom.

=====

Tl2HWS4 after structural relaxation. Source: Alexandria, functional GGA-PBE.

Geometry as POSCAR:
```
Tl2HWS4
1.0
6.297 0.000 0.000
-2.705 6.072 0.000
-2.064 -2.871 5.739
Tl H W S
2 1 1 4
direct
0.000 0.000 0.000 Tl
0.460 0.339 0.806 Tl
0.677 0.712 0.403 H
0.936 0.423 0.435 W
0.308 0.492 0.418 S
0.604 0.075 0.129 S
0.912 0.749 0.398 S
0.981 0.425 0.774 S
```

As for the space group: P1, No. 1. Its total energy is -5.010 eV/atom.

=====

Y5Tl2HS after structural relaxation. Source: Alexandria, functional GGA-PBE.

Geometry as POSCAR:
```
Y5Tl2HS
1.0
2.059 -8.854 0.000
2.059 8.854 0.000
0.000 0.000 12.361
Y Tl H S
10 4 2 2
direct
0.002 0.998 0.500 Y
0.145 0.855 0.254 Y
0.193 0.807 0.904 Y
0.195 0.805 0.611 Y
0.458 0.542 0.244 Y
0.542 0.458 0.744 Y
0.805 0.195 0.111 Y
0.807 0.193 0.404 Y
0.855 0.145 0.754 Y
0.998 0.002 0.000 Y
0.373 0.627 0.941 Tl
0.379 0.621 0.567 Tl
0.621 0.379 0.067 Tl
0.627 0.373 0.441 Tl
0.069 0.931 0.657 H
0.931 0.069 0.157 H
0.300 0.700 0.256 S
0.700 0.300 0.756 S
```

As for the space group: Cmc2_1, No. 36. Its total energy is -5.704 eV/atom.

=====

TlZnHS2 after structural relaxation. Source: Alexandria, functional GGA-PBE.

Geometry as POSCAR:
```
TlZnHS2
1.0
4.878 0.000 0.000
0.000 4.878 0.000
0.000 0.000 3.554
Tl Zn H S
1 1 1 2
direct
0.000 0.000 0.000 Tl
0.500 0.500 0.000 Zn
0.500 0.500 0.500 H
0.000 0.500 0.500 S
0.500 0.000 0.500 S
```

As for the space group: P4/mmm, No. 123. Its total energy is -2.643 eV/atom.

=====

ZrTlHS3 after structural relaxation. Source: Alexandria, functional GGA-PBE.

Geometry as POSCAR:
```
ZrTlHS3
1.0
8.699 0.000 0.000
0.000 3.498 0.000
-2.673 0.000 8.932
Zr Tl H S
2 2 2 6
direct
0.175 0.250 0.143 Zr
0.825 0.750 0.857 Zr
0.311 0.750 0.755 Tl
0.689 0.250 0.245 Tl
0.321 0.750 0.440 H
0.679 0.250 0.560 H
0.039 0.250 0.848 S
0.276 0.250 0.431 S
0.369 0.750 0.109 S
0.631 0.250 0.891 S
0.724 0.750 0.569 S
0.961 0.750 0.152 S
```

As for the space group: P2_1/m, No. 11. Its total energy is -5.211 eV/atom.

=====

TmHS2 after structural relaxation. Source: Alexandria, functional GGA-PBE.

Geometry as POSCAR:
```
TmHS2
1.0
4.020 0.000 0.000
-2.010 3.481 0.000
0.000 0.000 18.208
Tm H S
3 3 6
direct
0.000 0.000 0.000 Tm
0.333 0.667 0.667 Tm
0.667 0.333 0.333 Tm
0.000 0.000 0.500 H
0.333 0.667 0.167 H
0.667 0.333 0.833 H
0.000 0.000 0.410 S
0.000 0.000 0.590 S
0.333 0.667 0.077 S
0.333 0.667 0.256 S
0.667 0.333 0.744 S
0.667 0.333 0.923 S
```

As for the space group: R-3m, No. 166. The energy above the lowest structure with this stoichiometry comes out at 39 meV per atom. Its total energy is -5.315 eV/atom.

=====

Tm2HS3 after structural relaxation. Source: Alexandria, functional GGA-PBE.

Geometry as POSCAR:
```
Tm2HS3
1.0
10.542 0.000 0.000
0.000 3.754 0.000
0.000 0.000 10.492
Tm H S
8 4 12
direct
0.030 0.250 0.185 Tm
0.197 0.250 0.510 Tm
0.303 0.750 0.010 Tm
0.470 0.750 0.685 Tm
0.530 0.250 0.315 Tm
0.697 0.250 0.990 Tm
0.803 0.750 0.490 Tm
0.970 0.750 0.815 Tm
0.130 0.750 0.131 H
0.370 0.250 0.631 H
0.630 0.750 0.369 H
0.870 0.250 0.869 H
0.049 0.750 0.379 S
0.123 0.250 0.936 S
0.213 0.750 0.701 S
0.287 0.250 0.201 S
0.377 0.750 0.436 S
0.451 0.250 0.879 S
0.549 0.750 0.121 S
0.623 0.250 0.564 S
0.713 0.750 0.799 S
0.787 0.250 0.299 S
0.877 0.750 0.064 S
0.951 0.250 0.621 S
```

As for the space group: Pnma, No. 62. Its total energy is -5.582 eV/atom.

=====

TmHS2 after structural relaxation. Source: Alexandria, functional GGA-PBE.

Geometry as POSCAR:
```
TmHS2
1.0
4.022 0.000 0.000
0.000 5.983 0.000
0.000 0.000 6.676
Tm H S
2 2 4
direct
0.000 0.217 0.000 Tm
0.500 0.783 0.500 Tm
0.000 0.330 0.466 H
0.500 0.670 0.966 H
0.000 0.011 0.652 S
0.000 0.509 0.334 S
0.500 0.491 0.834 S
0.500 0.989 0.152 S
```

As for the space group: Pmn2_1, No. 31. The energy above the lowest structure with this stoichiometry comes out at 0 meV per atom. Its total energy is -5.354 eV/atom.

=====

U2HS3 after structural relaxation. Source: Alexandria, functional GGA-PBE.

Geometry as POSCAR:
```
U2HS3
1.0
10.450 0.000 0.000
0.000 3.758 0.000
0.000 0.000 10.725
U H S
8 4 12
direct
0.026 0.250 0.181 U
0.191 0.250 0.520 U
0.309 0.750 0.020 U
0.474 0.750 0.681 U
0.526 0.250 0.319 U
0.691 0.250 0.980 U
0.809 0.750 0.480 U
0.974 0.750 0.819 U
0.125 0.750 0.127 H
0.375 0.250 0.627 H
0.625 0.750 0.373 H
0.875 0.250 0.873 H
0.057 0.750 0.374 S
0.126 0.250 0.942 S
0.212 0.750 0.705 S
0.288 0.250 0.205 S
0.374 0.750 0.442 S
0.443 0.250 0.874 S
0.557 0.750 0.126 S
0.626 0.250 0.558 S
0.712 0.750 0.795 S
0.788 0.250 0.295 S
0.874 0.750 0.058 S
0.943 0.250 0.626 S
```

As for the space group: Pnma, No. 62. The energy above the lowest structure with this stoichiometry comes out at 0 meV per atom. Its total energy is -7.692 eV/atom.

=====

U3H2S3 after structural relaxation. Source: Alexandria, functional GGA-PBE.

Geometry as POSCAR:
```
U3H2S3
1.0
7.894 0.000 0.000
-3.947 6.836 0.000
0.000 0.000 5.381
U H S
6 4 6
direct
0.000 0.381 0.250 U
0.000 0.619 0.750 U
0.381 0.000 0.250 U
0.381 0.381 0.750 U
0.619 0.000 0.750 U
0.619 0.619 0.250 U
0.333 0.667 0.000 H
0.333 0.667 0.500 H
0.667 0.333 0.000 H
0.667 0.333 0.500 H
0.000 0.275 0.750 S
0.000 0.725 0.250 S
0.275 0.000 0.750 S
0.275 0.275 0.250 S
0.725 0.000 0.250 S
0.725 0.725 0.750 S
```

As for the space group: P6_3/mcm, No. 193. Its total energy is -7.430 eV/atom.

=====

U2HS3 after structural relaxation. Source: Alexandria, functional GGA-PBE.

Geometry as POSCAR:
```
U2HS3
1.0
3.619 2.089 5.382
-3.619 2.089 5.382
0.000 -4.179 5.382
U H S
4 2 6
direct
0.133 0.133 0.133 U
0.367 0.367 0.367 U
0.633 0.633 0.633 U
0.867 0.867 0.867 U
0.000 0.000 0.000 H
0.500 0.500 0.500 H
0.034 0.750 0.466 S
0.250 0.534 0.966 S
0.466 0.034 0.750 S
0.534 0.966 0.250 S
0.750 0.466 0.034 S
0.966 0.250 0.534 S
```

As for the space group: R-3c, No. 167. The energy above the lowest structure with this stoichiometry comes out at 236 meV per atom. Its total energy is -7.456 eV/atom.

=====

U3HS6 after structural relaxation. Source: Alexandria, functional GGA-PBE.

Geometry as POSCAR:
```
U3HS6
1.0
11.210 0.000 0.000
0.000 4.081 0.000
-3.520 0.000 10.725
U H S
6 2 12
direct
0.011 0.250 0.191 U
0.329 0.250 0.993 U
0.433 0.750 0.339 U
0.567 0.250 0.661 U
0.671 0.750 0.007 U
0.989 0.750 0.809 U
0.143 0.250 0.353 H
0.857 0.750 0.647 H
0.042 0.750 0.336 S
0.084 0.250 0.969 S
0.237 0.750 0.832 S
0.281 0.250 0.228 S
0.408 0.750 0.568 S
0.484 0.750 0.120 S
0.516 0.250 0.880 S
0.592 0.250 0.432 S
0.719 0.750 0.772 S
0.763 0.250 0.168 S
0.916 0.750 0.031 S
0.958 0.250 0.664 S
```

As for the space group: P2_1/m, No. 11. Its total energy is -7.271 eV/atom.

=====

UHS3 after structural relaxation. Source: Alexandria, functional GGA-PBE.

Geometry as POSCAR:
```
UHS3
1.0
7.055 -4.684 0.000
7.055 4.684 0.000
-2.684 0.000 6.349
U H S
4 4 12
direct
0.141 0.859 0.750 U
0.309 0.691 0.250 U
0.691 0.309 0.750 U
0.859 0.141 0.250 U
0.201 0.412 0.757 H
0.412 0.201 0.257 H
0.588 0.799 0.743 H
0.799 0.588 0.243 H
0.008 0.192 0.997 S
0.113 0.618 0.398 S
0.192 0.008 0.497 S
0.323 0.499 0.833 S
0.382 0.887 0.102 S
0.499 0.323 0.333 S
0.501 0.677 0.667 S
0.618 0.113 0.898 S
0.677 0.501 0.167 S
0.808 0.992 0.503 S
0.887 0.382 0.602 S
0.992 0.808 0.003 S
```

As for the space group: C2/c, No. 15. Its total energy is -6.246 eV/atom.

=====

V2HS after structural relaxation. Source: Alexandria, functional GGA-PBE.

Geometry as POSCAR:
```
V2HS
1.0
3.338 0.000 0.000
-1.669 2.891 0.000
0.000 0.000 16.897
V H S
6 3 3
direct
0.000 0.000 0.099 V
0.000 0.000 0.901 V
0.333 0.667 0.567 V
0.333 0.667 0.766 V
0.667 0.333 0.234 V
0.667 0.333 0.433 V
0.000 0.000 0.000 H
0.333 0.667 0.667 H
0.667 0.333 0.333 H
0.000 0.000 0.500 S
0.333 0.667 0.167 S
0.667 0.333 0.833 S
```

As for the space group: R-3m, No. 166. The energy above the lowest structure with this stoichiometry comes out at 382 meV per atom. Its total energy is -6.523 eV/atom.

=====

V4HS5 after structural relaxation. Source: Alexandria, functional GGA-PBE.

Geometry as POSCAR:
```
V4HS5
1.0
7.164 -1.540 0.000
7.164 1.540 0.000
-1.525 0.000 6.473
V H S
4 1 5
direct
0.003 0.003 0.275 V
0.360 0.360 0.426 V
0.640 0.640 0.574 V
0.997 0.997 0.725 V
0.500 0.500 0.500 H
0.162 0.162 0.837 S
0.173 0.173 0.337 S
0.500 0.500 0.000 S
0.827 0.827 0.663 S
0.838 0.838 0.163 S
```

As for the space group: C2/m, No. 12. Its total energy is -6.737 eV/atom.